# 1
A plane-wave DFT calculation with PBE was carried out for an optimized crystal structure of HoPuAlIn.

## Properties
- E_form: -5.22 kcal/mol of atoms
- Total magnetization: 22.7 Bohr magnetons per cell
- Crystal system: cubic
- Density of states at the Fermi level: 30.88 states/eV/cell

Cell lengths 7.3763, 7.3763, 7.3763 Å; angles 90.00, 90.00, 90.00 degrees
Last column: nearest neighbours and their distance in Å.
Space group F-43m (No. 216)
Symmetry-distinct sites (fractional):
Ho (0.0000, 0.0000, 0.0000) [4 per cell]  4 Al 3.19, 4 In 3.19
Pu (0.0000, 0.0000, 0.5000) [4 per cell]  4 In 3.19, 4 Al 3.19
Al (0.2500, 0.2500, 0.7500) [4 per cell]  4 Pu 3.19, 4 Ho 3.19
In (0.2500, 0.2500, 0.2500) [4 per cell]  4 Ho 3.19, 4 Pu 3.19



# 2
A plane-wave DFT calculation with PBE was carried out for an optimized crystal structure of Ho2Al2InRh5.

## Properties
- E_form: -19.63 kcal/mol of atoms
- Total magnetization: 0.0 Bohr magnetons per cell
- Crystal system: tetragonal
- Density of states at the Fermi level: 9.65 states/eV/cell

Cell lengths 9.9264, 9.9264, 3.5051 Å; angles 90.00, 90.00, 90.00 degrees
Last column: nearest neighbours and their distance in Å.
Space group P4/mbm (No. 127)
Symmetry-distinct sites (fractional):
Ho (0.1757, 0.3243, 0.0000) [4 per cell]  3 Al 2.84-3.00, 6 Rh 3.03-3.10
Al (0.1220, 0.6220, 0.0000) [4 per cell]  6 Rh 2.45-2.47
In (0.0000, 0.0000, 0.0000) [2 per cell]  8 Rh 2.81
Rh (0.0000, 0.5000, 0.5000) [2 per cell]  4 Al 2.45
Rh (0.0689, 0.7898, 0.5000) [8 per cell]  2 Al 2.47



# 3
A plane-wave DFT calculation with PBE was carried out for an optimized crystal structure of HoAlIn2S6.

## Properties
- Total magnetization: 0.0 Bohr magnetons per cell
- Total energy: -4.857 eV per atom
- Crystal system: monoclinic
- Density of states at the Fermi level: 0.00 states/eV/cell

Cell lengths 12.0796, 13.2793, 6.8011 Å; angles 90.00, 111.60, 90.00 degrees
Last column: nearest neighbours and their distance in Å.
Space group C2/c (No. 15)
Symmetry-distinct sites (fractional):
Ho (0.0000, 0.0952, 0.2500) [4 per cell]  6 S 2.74-2.79
Al (0.0000, 0.1692, 0.7500) [4 per cell]  4 S 2.27-2.29
In (0.1188, 0.4116, 0.1518) [8 per cell]  4 S 2.48-2.69
S (0.1176, 0.2273, 0.0732) [8 per cell]  1 Al 2.27, 1 In 2.50
S (0.1204, 0.4135, 0.5229) [8 per cell]  3 In 2.48-2.69
S (0.1283, 0.0645, 0.6709) [8 per cell]  1 Al 2.29



# 4
A plane-wave DFT calculation with PBE was carried out for an optimized crystal structure of HoScAlIn.

## Properties
- E above lowest polymorph: 0 meV per atom
- E_form: -9.58 kcal/mol of atoms
- Total magnetization: 0.0 Bohr magnetons per cell
- Crystal system: tetragonal
- Density of states at the Fermi level: 1.74 states/eV/cell

Cell lengths 3.4704, 3.4704, 7.5472 Å; angles 90.00, 90.00, 90.00 degrees
Last column: nearest neighbours and their distance in Å.
Space group P4mm (No. 99)
Symmetry-distinct sites (fractional):
Ho (0.0000, 0.0000, 0.0000) [1 per cell]  4 Al 3.11, 4 In 3.24, 4 Ho 3.47
Sc (0.0000, 0.0000, 0.4736) [1 per cell]  4 Al 2.97, 4 In 3.08
Al (0.5000, 0.5000, 0.2525) [1 per cell]  4 Sc 2.97, 4 Ho 3.11
In (0.5000, 0.5000, 0.7195) [1 per cell]  4 Sc 3.08, 4 Ho 3.24



# 5
A plane-wave DFT calculation with PBE was carried out for an optimized crystal structure of HoScAlIn.

## Properties
- E above lowest polymorph: 25 meV per atom
- E_form: -9.00 kcal/mol of atoms
- Total magnetization: 0.0 Bohr magnetons per cell
- Crystal system: cubic
- Density of states at the Fermi level: 8.22 states/eV/cell

Cell lengths 7.1567, 7.1567, 7.1567 Å; angles 90.00, 90.00, 90.00 degrees
Last column: nearest neighbours and their distance in Å.
Space group F-43m (No. 216)
Symmetry-distinct sites (fractional):
Ho (0.0000, 0.0000, 0.0000) [4 per cell]  4 In 3.10, 4 Al 3.10
Sc (0.0000, 0.0000, 0.5000) [4 per cell]  4 In 3.10, 4 Al 3.10
Al (0.2500, 0.2500, 0.7500) [4 per cell]  4 Ho 3.10, 4 Sc 3.10
In (0.2500, 0.2500, 0.2500) [4 per cell]  4 Sc 3.10, 4 Ho 3.10



# 6
A plane-wave DFT calculation with PBE was carried out for an optimized crystal structure of HoAlIn2Se6.

## Properties
- Total magnetization: 0.0 Bohr magnetons per cell
- Total energy: -4.362 eV per atom
- Crystal system: monoclinic

Cell lengths 13.8370, 13.8043, 6.9968 Å; angles 90.00, 110.28, 90.00 degrees
Last column: nearest neighbours and their distance in Å.
Space group C2/c (No. 15)
Symmetry-distinct sites (fractional):
Ho (0.0000, 0.0859, 0.2500) [4 per cell]  6 Se 2.85-3.04
Al (0.0000, 0.1586, 0.7500) [4 per cell]  4 Se 2.41-2.44
In (0.0832, 0.4037, 0.1156) [8 per cell]  4 Se 2.57-2.73
Se (0.1175, 0.2238, 0.0715) [8 per cell]  1 Al 2.44, 1 In 2.57
Se (0.1248, 0.0614, 0.6672) [8 per cell]  1 Al 2.41
Se (0.1265, 0.4222, 0.5189) [8 per cell]  3 In 2.62-2.73



# 7
A plane-wave DFT calculation with PBE was carried out for an optimized crystal structure of SmHoAlIn.

## Properties
- E above lowest polymorph: 0 meV per atom
- E_form: -9.76 kcal/mol of atoms
- Total magnetization: 0.0 Bohr magnetons per cell
- Crystal system: tetragonal
- Density of states at the Fermi level: 2.11 states/eV/cell

Cell lengths 3.6855, 3.6855, 7.5364 Å; angles 90.00, 90.00, 90.00 degrees
Last column: nearest neighbours and their distance in Å.
Space group P4mm (No. 99)
Symmetry-distinct sites (fractional):
Sm (0.0000, 0.0000, 0.0000) [1 per cell]  4 Al 3.21, 4 In 3.31
Ho (0.0000, 0.0000, 0.4786) [1 per cell]  4 Al 3.13, 4 In 3.22
Al (0.5000, 0.5000, 0.2485) [1 per cell]  4 Ho 3.13, 4 Sm 3.21
In (0.5000, 0.5000, 0.7295) [1 per cell]  4 Ho 3.22, 4 Sm 3.31



# 8
A plane-wave DFT calculation with PBE was carried out for an optimized crystal structure of SmHoAlIn.

## Properties
- E above lowest polymorph: 14 meV per atom
- E_form: -9.44 kcal/mol of atoms
- Total magnetization: 0.0 Bohr magnetons per cell
- Crystal system: cubic
- Density of states at the Fermi level: 6.09 states/eV/cell

Cell lengths 7.4336, 7.4336, 7.4336 Å; angles 90.00, 90.00, 90.00 degrees
Last column: nearest neighbours and their distance in Å.
Space group F-43m (No. 216)
Symmetry-distinct sites (fractional):
Sm (0.0000, 0.0000, 0.0000) [4 per cell]  4 In 3.22, 4 Al 3.22
Ho (0.0000, 0.0000, 0.5000) [4 per cell]  4 In 3.22, 4 Al 3.22
Al (0.2500, 0.2500, 0.7500) [4 per cell]  4 Ho 3.22, 4 Sm 3.22
In (0.2500, 0.2500, 0.2500) [4 per cell]  4 Ho 3.22, 4 Sm 3.22